4
Lattice="4.971 0.000 0.000 2.485 4.305 0.000 2.485 1.435 4.059" Properties=species:S:1:pos:R:3 comment="ErLuMgNi, optimized geometry, DFT PBE-GGA" crystal_system=cubic formation_enthalpy_0k_ev_per_atom=-0.14 pbc="T T T"
Mg 4.971 2.870 2.029
Er 7.456 4.305 3.044
Lu 2.485 1.435 1.015
Ni 0.000 0.000 0.000

***

4
Lattice="5.306 0.000 -0.004 2.412 4.725 0.004 -3.372 -3.158 2.609" Properties=species:S:1:pos:R:3 comment="TaTc2Ag, optimized geometry, DFT PBE-GGA" crystal_system=orthorhombic polymorph_energy_ev_per_atom=0.154 formation_enthalpy_0k_ev_per_atom=0.33 pbc="T T T"
Ag 2.896 -0.398 1.302
Ta 1.450 1.965 1.307
Tc 0.135 0.083 0.000
Tc 3.724 2.280 0.000

***

5
Lattice="-2.503 -1.038 -4.798 4.028 -3.513 -1.342 -2.806 -4.117 2.354" Properties=species:S:1:pos:R:3 comment="GaGe3I, optimized geometry, DFT PBE-GGA" crystal_system=cubic polymorph_energy_ev_per_atom=0.520 pbc="T T T"
Ge -1.403 -2.059 1.177
Ge 2.014 -1.756 -0.671
Ge -1.252 -0.519 -2.399
I 0.000 0.000 0.000
Ga -0.641 -4.334 -1.893

***

12
Lattice="-5.457 -1.082 -2.165 1.500 -0.592 -6.291 1.719 -6.883 -2.294" Properties=species:S:1:pos:R:3 comment="KRbNpN3, optimized geometry, DFT PBE-GGA" crystal_system=monoclinic energy_ev_per_atom=-7.11 pbc="T T T"
K 0.942 -6.340 -6.124
K -3.179 -2.216 -4.626
N 0.134 -7.359 -8.647
N -2.769 -5.005 -4.265
N -2.372 -1.198 -2.102
N 1.308 -1.048 -5.127
N -3.546 -7.509 -5.623
N 0.532 -3.552 -6.484
Np 0.259 -1.695 -6.724
Np -2.496 -6.862 -4.025
Rb -2.112 -4.668 -7.492
Rb -0.126 -3.888 -3.257

***

16
Lattice="-2.517 -0.017 4.879 -1.749 -3.325 -4.003 12.647 -14.452 6.476" Properties=species:S:1:pos:R:3 comment="Pr5SmAl2, optimized geometry, DFT PBE-GGA" crystal_system=hexagonal formation_enthalpy_0k_ev_per_atom=-0.02 pbc="T T T"
Pr 7.480 -13.061 3.814
Pr 3.358 -7.541 4.795
Pr 10.697 -12.224 5.477
Pr 1.950 -2.229 0.999
Pr 4.373 -4.997 2.239
Pr 5.022 -10.253 2.556
Pr 9.938 -15.870 5.073
Pr -1.557 -1.924 2.279
Pr 0.900 -4.733 3.537
Pr 8.274 -9.455 4.237
Al 9.122 -14.128 7.747
Al -0.742 -3.666 -0.395
Al 5.326 -9.790 5.803
Al 3.055 -8.004 1.548
Sm 1.156 -5.835 0.577
Sm 7.224 -11.959 6.775

***

4
Lattice="2.532 0.000 5.993 -1.266 2.193 5.993 -1.266 -2.193 5.993" Properties=species:S:1:pos:R:3 comment="KSN2, optimized geometry, DFT PBE-GGA" crystal_system=trigonal energy_ev_per_atom=-5.00 pbc="T T T"
N 0.000 0.000 16.475
N 0.000 0.000 1.504
S 0.000 0.000 0.000
K 0.000 0.000 8.990

***

4
Lattice="3.421 0.000 0.000 1.710 2.962 0.000 1.710 0.987 9.125" Properties=species:S:1:pos:R:3 comment="NpGeAs2, optimized geometry, DFT PBE-GGA" crystal_system=trigonal polymorph_energy_ev_per_atom=0.735 formation_enthalpy_0k_ev_per_atom=0.42 pbc="T T T"
Ge 3.421 1.975 4.563
As 5.131 2.962 2.876
As 1.710 0.987 6.249
Np 0.000 0.000 0.000

***

20
Lattice="-3.508 -4.095 -4.446 -1.944 -3.296 4.569 -9.424 6.968 1.018" Properties=species:S:1:pos:R:3 comment="Ag3Te2, optimized geometry, DFT PBE-GGA" crystal_system=orthorhombic polymorph_energy_ev_per_atom=0.000 pbc="T T T"
Te -8.780 0.227 4.203
Te -6.096 -0.651 -3.062
Te -4.850 -3.657 -0.813
Te -9.710 -0.345 -0.493
Te -10.025 3.233 1.953
Te -5.166 -0.079 1.634
Te -12.603 -0.290 2.203
Te -2.273 -0.134 -1.062
Ag -3.515 -1.963 -2.911
Ag -7.431 -2.344 -0.964
Ag -11.361 1.539 4.051
Ag -7.445 1.921 2.105
Ag -3.210 -2.121 0.992
Ag -4.228 1.908 -0.421
Ag -4.966 -6.567 -1.019
Ag -10.647 -2.332 1.562
Ag -7.924 -1.036 1.713
Ag -11.666 1.697 0.148
Ag -6.952 0.612 -0.572
Ag -0.486 -0.824 1.142